Entry from the Alexandria database: a PBEsol-optimized structure of LiNi2O2F (meta-GGA SCAN).

Unit cell a=2.871 b=2.871 c=12.528 alpha=90.00 beta=90.00 gamma=90.00
Positions (direct):
1 Li 0.250 0.250 0.083
2 Li 0.750 0.750 0.917
3 Ni 0.250 0.250 0.416
4 Ni 0.250 0.250 0.747
5 Ni 0.750 0.750 0.253
6 Ni 0.750 0.750 0.584
7 O 0.250 0.250 0.251
8 O 0.250 0.250 0.580
9 O 0.750 0.750 0.420
10 O 0.750 0.750 0.749
11 F 0.250 0.250 0.923
12 F 0.750 0.750 0.077

Computed properties:
Total moment   0.00 μB per atom
Calculated density   5.6 g cm⁻³
ΔE_f (raw)   -1850 meV/atom


Entry from the Alexandria database: a PBEsol-optimized structure of LiZrNb2Cr (meta-GGA SCAN).

Unit cell a=4.371 b=4.371 c=4.614 alpha=90.00 beta=90.00 gamma=90.00
Positions (direct):
1 Li 0.000 0.000 0.000
2 Zr 0.000 0.000 0.500
3 Nb 0.000 0.500 0.000
4 Nb 0.500 0.000 0.000
5 Cr 0.500 0.500 0.500

Computed properties:
Total moment   0.67 μB per atom
Calculated density   6.3 g cm⁻³
Formation enthalpy at 0 K   102.24 kJ per mole of atoms


Which value of calculated density does entry 1 give?
5.6 g cm⁻³


Which value of calculated density does entry 1 give?
5.6 g cm⁻³


Which of these has the highest total moment?
LiZrNb2Cr